MgZn2As | SCAN | PBEsol geometry

## Properties
- M_tot (μB/cell) = 0.00
- formation energy (eV/atom) = -0.031
- density (g/cm3) = 5.65

Cell: 5.6207 5.6358 5.0064 Å, 90.00 121.46 90.00°
Space group C2 (No. 5)
Unique sites:
Mg 0.0000 0.0000 0.0000 x2
Zn 0.0000 0.2569 0.5000 x2
Zn 0.0000 0.4945 0.0000 x2
As 0.0000 0.7517 0.5000 x2


MgZn2As | SCAN | PBEsol geometry

## Properties
- M_tot (μB/cell) = 0.00
- formation energy (eV/atom) = 0.022
- density (g/cm3) = 5.64

Cell: 4.1483 4.2236 7.7275 Å, 90.00 90.00 90.00°
Space group Cmm2 (No. 35)
Unique sites:
Mg 0.0000 0.0000 0.0000 x2
Zn 0.0000 0.0000 0.4705 x2
Zn 0.0000 0.5000 0.2563 x2
As 0.0000 0.5000 0.7365 x2